[1]
H6PbSe2O2 | PBE | relaxed

The structure belongs to space group C2/m (No. 12); the cell edges are 9.4310, 5.1591 and 6.9792 Å and the angles 90.00°, 106.42° and 90.00°. Symmetry generates all atoms from H at (0.1317, 0.0000, 0.3540), H at (0.1854, 0.1649, 0.1926), Pb at (0.0000, 0.5000, 0.5000), Se at (0.1990, 0.0000, 0.6771) and O at (0.1248, 0.0000, 0.2016).

Its crystal system is monoclinic. Its total magnetization is 0.00 μB/atom. The value obtained for the raw total energy is -4.187 eV per atom.



[2]
Tb2HPbO | PBE | relaxed

The structure belongs to space group I-4m2 (No. 119); the cell edges are 3.7835, 3.7835 and 13.3178 Å and the angles 90.00°, 90.00° and 90.00°. Symmetry generates all atoms from Tb at (0.0000, 0.0000, 0.1560), H at (0.0000, 0.5000, 0.7500), Pb at (0.0000, 0.0000, 0.5000) and O at (0.0000, 0.5000, 0.2500).

As for the density of states at the Fermi level: 3.93 states/eV/cell. Its crystal system is tetragonal. Its total magnetization is 0.00 μB/atom. The value obtained for the raw total energy is -5.876 eV per atom.



[3]
Tc2HPbO | PBE | relaxed

The structure belongs to space group P4/mmm (No. 123); the cell edges are 3.8985, 3.8985 and 5.6393 Å and the angles 90.00°, 90.00° and 90.00°. Symmetry generates all atoms from Tc at (0.0000, 0.5000, 0.0000), H at (0.0000, 0.0000, 0.5000), Pb at (0.5000, 0.5000, 0.5000) and O at (0.5000, 0.5000, 0.0000).

As for the density of states at the Fermi level: 4.75 states/eV/cell. Its crystal system is tetragonal. Its total magnetization is 0.00 μB/atom. The value obtained for the raw total energy is -5.891 eV per atom.



[4]
TcH2PbO6 | PBE | relaxed

The structure belongs to space group P1 (No. 1); the cell edges are 5.1576, 5.2139 and 5.7941 Å and the angles 63.95°, 63.69° and 63.61°. Symmetry generates all atoms from Tc at (0.0000, 0.0000, 0.0000), H at (0.0976, 0.3045, 0.2199), H at (0.8046, 0.6010, 0.7614), Pb at (0.5030, 0.5528, 0.4907), O at (0.0333, 0.8344, 0.7738), O at (0.1779, 0.6787, 0.2298), O at (0.3123, 0.1590, 0.7905), O at (0.6079, 0.0030, 0.2161), O at (0.7331, 0.4384, 0.7936) and O at (0.9144, 0.2638, 0.2502).

As for the density of states at the Fermi level: 3.28 states/eV/cell. Its crystal system is triclinic. Its total magnetization is 0.00 μB/atom. The value obtained for the raw total energy is -6.087 eV per atom.



[5]
TeH2Pb2O6 | PBE | relaxed

The structure belongs to space group R-3m (No. 166, hexagonal axes); the cell edges are 5.2663, 5.2663 and 16.0510 Å and the angles 90.00°, 90.00° and 120.00°. Symmetry generates all atoms from Te at (0.0000, 0.0000, 0.0000), H at (0.0000, 0.0000, 0.4003), Pb at (0.0000, 0.0000, 0.2203) and O at (0.0092, 0.5046, 0.2587).

Its crystal system is trigonal. Its total magnetization is 0.00 μB/atom. The value obtained for the raw total energy is -5.070 eV per atom.



[6]
TeHPb2O6 | PBE | relaxed

The structure belongs to space group P1 (No. 1); the cell edges are 5.6796, 5.8438 and 6.4057 Å and the angles 115.55°, 91.73° and 117.34°. Symmetry generates all atoms from Te at (0.0000, 0.0000, 0.0000), H at (0.2840, 0.8860, 0.2374), Pb at (0.1937, 0.4172, 0.6098), Pb at (0.6776, 0.3634, 0.0597), O at (0.1098, 0.8831, 0.2438), O at (0.2458, 0.9174, 0.8187), O at (0.3262, 0.3972, 0.2259), O at (0.7006, 0.5867, 0.8228), O at (0.8026, 0.1240, 0.2290) and O at (0.8787, 0.1218, 0.8047).

As for the density of states at the Fermi level: 3.48 states/eV/cell. Its crystal system is triclinic. Its total magnetization is 0.08 μB/atom. The value obtained for the raw total energy is -5.350 eV per atom.



[7]
Ti6HPb2O | PBE | relaxed

The structure belongs to space group Fmmm (No. 69); the cell edges are 8.3884, 8.4323 and 8.5309 Å and the angles 90.00°, 90.00° and 90.00°. Symmetry generates all atoms from Ti at (0.0000, 0.0000, 0.2449), Ti at (0.0000, 0.2447, 0.0000), Ti at (0.2446, 0.0000, 0.0000), H at (0.0000, 0.0000, 0.0000), Pb at (0.2500, 0.2500, 0.2500) and O at (0.0000, 0.0000, 0.5000).

As for the density of states at the Fermi level: 49.04 states/eV/cell. Its crystal system is orthorhombic. Its total magnetization is 0.00 μB/atom. The value obtained for the raw total energy is -6.930 eV per atom.